22
Lattice="6.8320 0.0000 0.0000 -0.0938 6.8314 0.0000 -0.0938 -0.0951 6.8307" Properties=species:S:1:pos:R:3 comment="NaSr3IrO6 (PBE-GGA, optimized geometry)" energy_ev_per_atom=-6.17 formation_energy_uncorrected_kj_per_mol_atoms=-201.1 pbc="T T T"
O 5.2288 2.9805 3.9398
O 0.4098 6.4245 1.9082
Sr 5.0771 0.6996 2.6785
Na 4.9833 5.0522 5.1230
Ir 3.3222 3.3681 3.4153
Ir 0.0000 0.0000 0.0000
O 0.2262 4.8352 6.3062
O 3.7360 2.8702 1.5072
Sr 2.5986 5.1133 0.7368
O 6.2346 0.3118 4.9225
O 4.8317 6.3016 0.3803
Sr 4.0458 1.6230 6.0939
Sr 1.5673 6.0367 4.1521
Sr 6.0146 4.1288 1.7077
O 6.4183 1.9010 0.5245
O 1.8128 0.4347 6.4504
O 2.8186 1.4545 3.7956
O 2.9085 3.8661 5.3235
O 1.4157 3.7558 2.8909
O 3.8258 5.2818 3.0351
Na 1.6611 1.6841 1.7077
Sr 0.6298 2.6075 5.1230